Record 1
The following is a DFT calculation (PBE) of an optimized crystal structure of ScFeIr.

Properties
DOS(E_F) in states/eV per cell: 13.62
E_form in eV/atom: -0.121

Cell: 6.098 6.098 6.098 Å, 90.00 90.00 90.00°
Space group F-43m (No. 216)
Unique sites:
Sc 0.000 0.000 0.000 (multiplicity 4)
Fe 0.000 0.000 0.500 (multiplicity 4)
Ir 0.250 0.250 0.250 (multiplicity 4)

=====

Record 2
The following is a DFT calculation (PBE) of an optimized crystal structure of Sc2FeIr.

Properties
DOS(E_F) in states/eV per cell: 14.71
E_form in eV/atom: -0.043

Cell: 7.109 7.109 5.638 Å, 90.00 90.00 90.00°
Space group I-42d (No. 122)
Unique sites:
Sc 0.246 0.250 0.125 (multiplicity 8)
Fe 0.000 0.000 0.500 (multiplicity 4)
Ir 0.000 0.000 0.000 (multiplicity 4)

=====

Record 3
The following is a DFT calculation (PBE) of an optimized crystal structure of ScFeIr2.

Properties
DOS(E_F) in states/eV per cell: 8.90
E_form in eV/atom: -0.294

Cell: 8.971 2.844 4.856 Å, 90.00 101.61 90.00°
Space group C2/m (No. 12)
Unique sites:
Sc 0.000 0.000 0.000 (multiplicity 2)
Fe 0.000 0.500 0.500 (multiplicity 2)
Ir 0.244 0.000 0.731 (multiplicity 4)

=====

Record 4
The following is a DFT calculation (PBE) of an optimized crystal structure of ScFeIr2.

Properties
DOS(E_F) in states/eV per cell: 22.52
E_form in eV/atom: 0.118

Cell: 3.955 3.955 17.342 Å, 90.00 90.00 90.00°
Space group I-42d (No. 122)
Unique sites:
Sc 0.000 0.000 0.000 (multiplicity 4)
Fe 0.000 0.000 0.500 (multiplicity 4)
Ir 0.208 0.250 0.625 (multiplicity 8)

=====

Record 5
The following is a DFT calculation (PBE) of an optimized crystal structure of Sc6Fe2Ir.

Properties
DOS(E_F) in states/eV per cell: 41.06
E_form in eV/atom: -0.329

Cell: 8.595 8.871 8.922 Å, 90.00 90.00 90.00°
Space group Immm (No. 71)
Unique sites:
Sc 0.000 0.179 0.206 (multiplicity 8)
Sc 0.179 0.500 0.237 (multiplicity 8)
Sc 0.196 0.245 0.500 (multiplicity 8)
Fe 0.000 0.381 0.000 (multiplicity 4)
Fe 0.132 0.000 0.000 (multiplicity 4)
Ir 0.000 0.000 0.500 (multiplicity 2)
Ir 0.000 0.500 0.500 (multiplicity 2)

=====

Record 6
The following is a DFT calculation (PBE) of an optimized crystal structure of Sc2FeIr.

Properties
DOS(E_F) in states/eV per cell: 4.68
E_form in eV/atom: -0.235

Cell: 2.985 4.266 5.388 Å, 90.00 90.00 90.00°
Space group Pmm2 (No. 25)
Unique sites:
Sc 0.000 0.000 0.000 (multiplicity 1)
Sc 0.500 0.500 0.342 (multiplicity 1)
Fe 0.000 0.000 0.516 (multiplicity 1)
Ir 0.500 0.500 0.828 (multiplicity 1)

=====

Record 7
The following is a DFT calculation (PBE) of an optimized crystal structure of ScFeIr2.

Properties
DOS(E_F) in states/eV per cell: 7.02
E_form in eV/atom: -0.308

Cell: 9.426 2.874 4.595 Å, 90.00 102.50 90.00°
Space group Cm (No. 8)
Unique sites:
Sc 0.000 0.000 0.000 (multiplicity 2)
Fe 0.236 0.000 0.723 (multiplicity 2)
Ir 0.002 0.500 0.505 (multiplicity 2)
Ir 0.258 0.500 0.254 (multiplicity 2)

=====

Record 8
The following is a DFT calculation (PBE) of an optimized crystal structure of Sc2FeIr.

Properties
DOS(E_F) in states/eV per cell: 20.29
E_form in eV/atom: -0.275

Cell: 6.396 6.396 6.396 Å, 90.00 90.00 90.00°
Space group F-43m (No. 216)
Unique sites:
Sc 0.000 0.000 0.000 (multiplicity 4)
Sc 0.250 0.250 0.250 (multiplicity 4)
Fe 0.000 0.000 0.500 (multiplicity 4)
Ir 0.250 0.250 0.750 (multiplicity 4)

=====

Record 9
The following is a DFT calculation (PBE) of an optimized crystal structure of Sc2FeIr.

Properties
DOS(E_F) in states/eV per cell: 7.94
E_form in eV/atom: -0.154

Cell: 8.346 3.002 5.512 Å, 90.00 98.26 90.00°
Space group C2/m (No. 12)
Unique sites:
Sc 0.248 0.000 0.250 (multiplicity 4)
Fe 0.000 0.000 0.500 (multiplicity 2)
Ir 0.000 0.500 0.000 (multiplicity 2)

=====

Record 10
The following is a DFT calculation (PBE) of an optimized crystal structure of Sc2FeIr.

Properties
DOS(E_F) in states/eV per cell: 11.54
E_form in eV/atom: -0.126

Cell: 3.0652 3.0652 24.3356 Å, 90.00 90.00 120.00°
Space group R-3m (No. 166, hexagonal axes)
Unique sites:
Sc 0.0000 0.0000 0.2457 (multiplicity 6)
Fe 0.0000 0.0000 0.5000 (multiplicity 3)
Ir 0.0000 0.0000 0.0000 (multiplicity 3)

=====

Record 11
The following is a DFT calculation (PBE) of an optimized crystal structure of ScFeIr.

Properties
DOS(E_F) in states/eV per cell: 3.17
E_form in eV/atom: -0.340

Cell: 3.120 3.120 9.648 Å, 90.00 90.00 90.00°
Space group I4mm (No. 107)
Unique sites:
Sc 0.000 0.000 0.000 (multiplicity 2)
Fe 0.000 0.000 0.678 (multiplicity 2)
Ir 0.000 0.000 0.325 (multiplicity 2)

=====

Record 12
The following is a DFT calculation (PBE) of an optimized crystal structure of ScFeIr.

Properties
DOS(E_F) in states/eV per cell: 2.49
E_form in eV/atom: -0.319

Cell: 4.3135 4.3135 2.9680 Å, 90.00 90.00 120.00°
Space group P3m1 (No. 156)
Unique sites:
Sc 0.0000 0.0000 0.0000 (multiplicity 1)
Fe 0.6667 0.3333 0.4201 (multiplicity 1)
Ir 0.3333 0.6667 0.5777 (multiplicity 1)